[1]
The following is a PBE calculation of an optimized crystal structure of GeI2O2, from the Alexandria database.

CIF file:
```
data_GeI2O2
_chemical_formula_sum 'Ge1 I2 O2'
_cell_length_a 4.1323
_cell_length_b 4.1323
_cell_length_c 7.9947
_cell_angle_alpha 90.00
_cell_angle_beta 90.00
_cell_angle_gamma 90.00
_symmetry_space_group_name_H-M 'P 4/m m m'
_symmetry_Int_Tables_number 123
_symmetry_space_group_name_Hall '-P 4 2'
loop_
_atom_site_label
_atom_site_fract_x
_atom_site_fract_y
_atom_site_fract_z
Ge1 0.0000 0.0000 0.0000
I1 0.5000 0.5000 0.0000
I2 0.5000 0.5000 0.5000
O1 0.0000 0.5000 0.5000
```

Properties
Uncorrected formation energy (eV per formula unit): 1.2
Raw total energy (eV/atom): -3.297
Crystal system: tetragonal

[2]
The following is a PBE calculation of an optimized crystal structure of Ge3IO, from the Alexandria database.

CIF file:
```
data_Ge3IO
_chemical_formula_sum 'Ge3 I1 O1'
_cell_length_a 4.6943
_cell_length_b 4.6943
_cell_length_c 4.6943
_cell_angle_alpha 90.00
_cell_angle_beta 90.00
_cell_angle_gamma 90.00
_symmetry_space_group_name_H-M 'P m -3 m'
_symmetry_Int_Tables_number 221
_symmetry_space_group_name_Hall '-P 4 2 3'
loop_
_atom_site_label
_atom_site_fract_x
_atom_site_fract_y
_atom_site_fract_z
Ge1 0.0000 0.0000 0.5000
I1 0.5000 0.5000 0.5000
O1 0.0000 0.0000 0.0000
```

Properties
Uncorrected formation energy (eV per formula unit): 1.2
Raw total energy (eV/atom): -3.823
Crystal system: cubic

Ordered Fermi-level density of states results: 3.5 4.3; unit states/eV/f.u..